1.
## MgHS2 (PBEsol)

Data for a geometry-optimized MgHS2 structure.

Unit cell a=5.336 b=5.336 c=5.336 alpha=98.09 beta=115.44 gamma=115.44
Element x y z (fractional)
H 0.500 0.250 0.750
H 0.000 0.500 0.500
S 0.917 0.542 0.125
S 0.083 0.208 0.625
S 0.417 0.875 0.792
S 0.583 0.375 0.458
Mg 0.500 0.750 0.250
Mg 0.000 0.000 0.000

Results
DOS at the Fermi energy	2.39	states/eV/f.u.
magnetization	0.001	Bohr magnetons per cell
total energy	-3.635	eV per atom

=====

2.
## CoTc2Rh (PBEsol)

Data for a geometry-optimized CoTc2Rh structure.

Unit cell a=4.214 b=4.214 c=4.214 alpha=60.00 beta=60.00 gamma=60.00
Element x y z (fractional)
Co 0.000 0.000 0.000
Rh 0.500 0.500 0.500
Tc 0.250 0.250 0.250
Tc 0.750 0.750 0.750

Results
energy above the lowest structure with this stoichiometry	541	meV per atom
DOS at the Fermi energy	8.03	states/eV/f.u.
magnetization	1.231	Bohr magnetons per cell
total energy	-9.173	eV per atom
ΔH_f (0 K)	0.4294	eV/atom

=====

3.
## Li2CuPt (PBEsol)

Data for a geometry-optimized Li2CuPt structure.

Unit cell a=2.693 b=4.491 c=4.491 alpha=110.29 beta=90.00 gamma=90.00
Element x y z (fractional)
Pt 0.500 0.000 0.000
Cu 0.500 0.500 0.500
Li 0.000 0.500 0.000
Li 0.000 0.000 0.500

Results
energy above the lowest structure with this stoichiometry	49	meV per atom
DOS at the Fermi energy	1.12	states/eV/f.u.
magnetization	0.000	Bohr magnetons per cell
total energy	-4.088	eV per atom
ΔH_f (0 K)	-0.2799	eV/atom

=====

4.
## KZnReH2 (PBEsol)

Data for a geometry-optimized KZnReH2 structure.

Unit cell a=3.817 b=3.817 c=5.556 alpha=90.00 beta=90.00 gamma=90.00
Element x y z (fractional)
Re 0.500 0.500 0.500
Zn 0.000 0.000 0.500
K 0.000 0.000 0.000
H 0.000 0.500 0.000
H 0.500 0.000 0.000

Results
DOS at the Fermi energy	3.03	states/eV/f.u.
magnetization	2.185	Bohr magnetons per cell
total energy	-2.618	eV per atom

=====

5.
## Cd2SbSe (PBEsol)

Data for a geometry-optimized Cd2SbSe structure.

Unit cell a=5.051 b=5.051 c=5.051 alpha=60.00 beta=60.00 gamma=60.00
Element x y z (fractional)
Cd 0.000 0.000 0.000
Cd 0.750 0.750 0.750
Sb 0.500 0.500 0.500
Se 0.250 0.250 0.250

Results
formation energy (no corrections)	0.1366	eV/atom
DOS at the Fermi energy	1.91	states/eV/f.u.
magnetization	0.000	Bohr magnetons per cell
total energy	-2.564	eV per atom

=====

6.
## CaZn2Co2 (PBEsol)

Data for a geometry-optimized CaZn2Co2 structure.

Unit cell a=4.050 b=4.050 c=5.592 alpha=111.23 beta=111.23 gamma=90.00
Element x y z (fractional)
Zn 0.250 0.750 0.500
Zn 0.750 0.250 0.500
Co 0.389 0.389 0.778
Co 0.611 0.611 0.222
Ca 0.000 0.000 0.000

Results
DOS at the Fermi energy	7.07	states/eV/f.u.
magnetization	1.429	Bohr magnetons per cell
total energy	-4.071	eV per atom
ΔH_f (0 K)	0.0834	eV/atom

=====

7.
## KSrSe2 (PBEsol)

Data for a geometry-optimized KSrSe2 structure.

Unit cell a=3.997 b=5.173 c=5.173 alpha=100.10 beta=90.00 gamma=90.00
Element x y z (fractional)
K 0.500 0.500 0.500
Se 0.000 0.500 0.000
Se 0.000 0.000 0.500
Sr 0.500 0.000 0.000

Results
formation energy (no corrections)	-1.2846	eV/atom
DOS at the Fermi energy	0.85	states/eV/f.u.
magnetization	0.000	Bohr magnetons per cell
total energy	-3.953	eV per atom

=====

8.
## LiZn2As (PBEsol)

Data for a geometry-optimized LiZn2As structure.

Unit cell a=2.794 b=2.794 c=8.147 alpha=90.00 beta=90.00 gamma=90.00
Element x y z (fractional)
As 0.500 0.500 0.000
Li 0.500 0.500 0.500
Zn 0.000 0.000 0.734
Zn 0.000 0.000 0.266

Results
DOS at the Fermi energy	1.31	states/eV/f.u.
magnetization	0.000	Bohr magnetons per cell
total energy	-2.555	eV per atom
ΔH_f (0 K)	0.0044	eV/atom

=====

9.
## MgTe3 (PBEsol)

Data for a geometry-optimized MgTe3 structure.

Unit cell a=4.735 b=4.735 c=4.735 alpha=90.00 beta=90.00 gamma=90.00
Element x y z (fractional)
Mg 0.000 0.000 0.000
Te 0.000 0.500 0.500
Te 0.500 0.000 0.500
Te 0.500 0.500 0.000

Results
formation energy (no corrections)	0.0639	eV/atom
DOS at the Fermi energy	3.13	states/eV/f.u.
magnetization	0.000	Bohr magnetons per cell
total energy	-3.010	eV per atom

=====

10.
## Li2ScIn (PBEsol)

Data for a geometry-optimized Li2ScIn structure.

Unit cell a=3.127 b=3.127 c=10.248 alpha=81.22 beta=81.22 gamma=60.00
Element x y z (fractional)
In 0.000 0.000 0.000
Li 0.254 0.254 0.238
Li 0.746 0.746 0.762
Sc 0.500 0.500 0.500

Results
DOS at the Fermi energy	3.42	states/eV/f.u.
magnetization	0.004	Bohr magnetons per cell
total energy	-3.363	eV per atom
ΔH_f (0 K)	0.0170	eV/atom

=====

11.
## LiTaZn2 (PBEsol)

Data for a geometry-optimized LiTaZn2 structure.

Unit cell a=2.825 b=2.825 c=7.263 alpha=90.00 beta=90.00 gamma=90.00
Element x y z (fractional)
Zn 0.000 0.000 0.769
Zn 0.000 0.000 0.231
Ta 0.500 0.500 0.500
Li 0.500 0.500 0.000

Results
energy above the lowest structure with this stoichiometry	0	meV per atom
DOS at the Fermi energy	1.82	states/eV/f.u.
magnetization	0.000	Bohr magnetons per cell
total energy	-4.491	eV per atom
ΔH_f (0 K)	-0.0711	eV/atom

=====

12.
## CoW (PBEsol)

Data for a geometry-optimized CoW structure.

Unit cell a=2.652 b=5.035 c=6.220 alpha=105.01 beta=90.00 gamma=105.27
Element x y z (fractional)
Co 0.004 0.008 0.006
Co 0.393 0.787 0.271
Co 0.329 0.659 0.669
W 0.671 0.343 0.333
W 0.033 0.067 0.612
W 0.735 0.471 0.943

Results
DOS at the Fermi energy	2.19	states/eV/f.u.
magnetization	0.014	Bohr magnetons per cell
total energy	-10.649	eV per atom
ΔH_f (0 K)	0.1231	eV/atom

=====

13.
## BaRu2Pt (PBEsol)

Data for a geometry-optimized BaRu2Pt structure.

Unit cell a=4.388 b=4.411 c=6.127 alpha=110.78 beta=90.00 gamma=119.82
Element x y z (fractional)
Ba 0.500 0.000 0.000
Pt 0.000 0.000 0.500
Ru 0.685 0.370 0.552
Ru 0.315 0.630 0.448

Results
energy above the lowest structure with this stoichiometry	0	meV per atom
DOS at the Fermi energy	5.44	states/eV/f.u.
magnetization	0.001	Bohr magnetons per cell
total energy	-7.114	eV per atom
ΔH_f (0 K)	0.2505	eV/atom

=====

14.
## SrLa2InRu (PBEsol)

Data for a geometry-optimized SrLa2InRu structure.

Unit cell a=5.388 b=5.388 c=5.427 alpha=90.00 beta=90.00 gamma=90.00
Element x y z (fractional)
Ru 0.000 0.000 0.000
In 0.000 0.000 0.500
Sr 0.500 0.500 0.500
La 0.000 0.500 0.000
La 0.500 0.000 0.000

Results
DOS at the Fermi energy	3.02	states/eV/f.u.
magnetization	0.000	Bohr magnetons per cell
total energy	-5.349	eV per atom
ΔH_f (0 K)	-0.2114	eV/atom

=====

15.
## CrCo2 (PBEsol)

Data for a geometry-optimized CrCo2 structure.

Unit cell a=2.438 b=2.438 c=5.440 alpha=102.96 beta=102.96 gamma=90.01
Element x y z (fractional)
Cr 0.000 0.000 0.000
Co 0.666 0.666 0.333
Co 0.334 0.334 0.667

Results
DOS at the Fermi energy	4.62	states/eV/f.u.
magnetization	0.065	Bohr magnetons per cell
total energy	-8.516	eV per atom
ΔH_f (0 K)	0.0561	eV/atom

=====

16.
## CdTc2Pt (PBEsol)

Data for a geometry-optimized CdTc2Pt structure.

Unit cell a=2.752 b=2.752 c=9.419 alpha=81.60 beta=81.60 gamma=60.00
Element x y z (fractional)
Cd 0.500 0.500 0.500
Pt 0.000 0.000 0.000
Tc 0.254 0.254 0.237
Tc 0.746 0.746 0.763

Results
DOS at the Fermi energy	3.43	states/eV/f.u.
magnetization	0.000	Bohr magnetons per cell
total energy	-7.461	eV per atom
ΔH_f (0 K)	0.2127	eV/atom

=====

17.
## Tc2Sb (PBEsol)

Data for a geometry-optimized Tc2Sb structure.

Unit cell a=4.285 b=4.285 c=4.285 alpha=60.00 beta=60.00 gamma=60.00
Element x y z (fractional)
Sb 0.000 0.000 0.000
Tc 0.750 0.750 0.750
Tc 0.250 0.250 0.250

Results
formation energy (no corrections)	0.8297	eV/atom
DOS at the Fermi energy	4.98	states/eV/f.u.
magnetization	0.008	Bohr magnetons per cell
total energy	-8.200	eV per atom

=====

18.
## CdGeIO2 (PBEsol)

Data for a geometry-optimized CdGeIO2 structure.

Unit cell a=4.202 b=4.202 c=5.733 alpha=90.00 beta=90.00 gamma=90.00
Element x y z (fractional)
I 0.000 0.000 0.500
Ge 0.500 0.500 0.500
O 0.000 0.500 0.000
O 0.500 0.000 0.000
Cd 0.000 0.000 0.000

Results
formation energy (no corrections)	0.2592	eV/atom
DOS at the Fermi energy	2.37	states/eV/f.u.
magnetization	0.557	Bohr magnetons per cell
total energy	-3.421	eV per atom

=====

19.
## Y2AuO2 (PBEsol)

Data for a geometry-optimized Y2AuO2 structure.

Unit cell a=3.831 b=3.831 c=6.475 alpha=107.21 beta=107.21 gamma=90.00
Element x y z (fractional)
Y 0.343 0.343 0.687
Y 0.657 0.657 0.313
Au 0.000 0.000 0.000
O 0.250 0.750 0.500
O 0.750 0.250 0.500

Results
formation energy (no corrections)	-2.6518	eV/atom
DOS at the Fermi energy	1.02	states/eV/f.u.
magnetization	0.000	Bohr magnetons per cell
total energy	-8.265	eV per atom

=====

20.
## CoHS2 (PBEsol)

Data for a geometry-optimized CoHS2 structure.

Unit cell a=3.366 b=3.366 c=5.777 alpha=73.06 beta=73.06 gamma=60.00
Element x y z (fractional)
H 0.000 0.000 0.000
S 0.900 0.900 0.301
S 0.100 0.100 0.699
Co 0.500 0.500 0.500

Results
energy above the lowest structure with this stoichiometry	0	meV per atom
magnetization	0.000	Bohr magnetons per cell
total energy	-5.291	eV per atom